NiRu2Rh: optimized geometry, GGA-PBE.

Output
Density ... 11.04 g cm⁻³
V ... 54.7 Å³ per cell
Space group ... Cm, No. 8
Distance to the lowest polymorph of the same formula ... 168 meV/atom

The structure in CIF format:
```
data_NiRu2Rh
_symmetry_space_group_name_H-M 'P 1'
_symmetry_Int_Tables_number 1
_cell_length_a 2.664
_cell_length_b 2.664
_cell_length_c 8.901
_cell_angle_alpha 90.16
_cell_angle_beta 90.13
_cell_angle_gamma 60.02
loop_
_symmetry_equiv_pos_as_xyz
'x,y,z'
loop_
_atom_site_label
_atom_site_fract_x
_atom_site_fract_y
_atom_site_fract_z
Ni1 0.000 0.000 0.010
Ru1 0.667 0.667 0.241
Ru2 0.333 0.333 0.771
Rh1 0.667 0.666 0.524
```